1.
This record from Alexandria via LeMat-Bulk describes an optimized crystal structure of BaReOs2. The functional is PBE-GGA.

Output
- Calculated formation energy: 0.962 eV/atom
- Spin magnetization: 0.0 μB/f.u.
- Space-group type: Pm (6)
- Fermi-level density of states: 1.21 states/eV/atom

Structure (POSCAR):
```
BaReOs2
1.0
3.864 0.000 0.000
0.000 4.093 0.000
-0.912 0.000 6.472
Ba Re Os
1 1 2
Direct
0.000 0.000 0.000
0.121 0.500 0.550
0.554 0.000 0.529
0.585 0.500 0.328
```

***

2.
This record from Alexandria via LeMat-Bulk describes an optimized crystal structure of BaReSiOs2. The functional is PBE-GGA.

Output
- Spin magnetization: 0.0 μB/f.u.
- Space-group type: P4/mmm (123)
- Fermi-level density of states: 2.27 states/eV/atom
- Formation energy (no corrections): 3.96 eV/atom

Structure (POSCAR):
```
BaReSiOs2
1.0
4.913 0.000 0.000
0.000 4.913 0.000
0.000 0.000 4.967
Ba Re Si Os
1 1 1 2
Direct
0.000 0.000 0.000
0.500 0.500 0.500
0.000 0.000 0.500
0.000 0.500 0.000
0.500 0.000 0.000
```